The following is a DFT calculation (PBE-GGA) of a relaxed structure of KYNi2Te.

abc: 4.788 4.788 5.808
angles: 90.00 90.00 90.00
Sites, in units of the cell vectors:
K: 0.000 0.000 0.000
Y: 0.500 0.500 0.000
Ni: 0.000 0.500 0.500
Ni: 0.500 0.000 0.500
Te: 0.000 0.000 0.500

## Properties
**Formation energy from raw total energies**: 0.609 eV per atom
**Crystal system**: tetragonal

=====

The following is a DFT calculation (PBE-GGA) of a relaxed structure of K2Zr2NiTe6.

abc: 7.119 7.119 8.844
angles: 98.27 98.27 120.09
Sites, in units of the cell vectors:
K: 0.171 0.829 0.000
K: 0.829 0.171 0.000
Zr: 0.331 0.669 0.500
Zr: 0.669 0.331 0.500
Ni: 0.000 0.000 0.500
Te: 0.072 0.385 0.693
Te: 0.249 0.249 0.312
Te: 0.385 0.072 0.693
Te: 0.615 0.928 0.307
Te: 0.751 0.751 0.688
Te: 0.928 0.615 0.307

## Properties
**Formation energy from raw total energies**: -0.736 eV per atom
**Crystal system**: monoclinic

=====

The following is a DFT calculation (PBE-GGA) of a relaxed structure of KTi2TlNi.

abc: 5.172 5.172 5.956
angles: 90.00 90.00 90.00
Sites, in units of the cell vectors:
K: 0.000 0.000 0.000
Ti: 0.000 0.500 0.500
Ti: 0.500 0.000 0.500
Tl: 0.000 0.000 0.500
Ni: 0.500 0.500 0.000

## Properties
**Crystal system**: tetragonal
**Energy of formation**: 1.605 eV per atom

=====

The following is a DFT calculation (PBE-GGA) of a relaxed structure of KTiZnNi2.

abc: 4.545 4.545 4.997
angles: 90.00 90.00 90.00
Sites, in units of the cell vectors:
K: 0.000 0.000 0.000
Ti: 0.500 0.500 0.000
Zn: 0.000 0.000 0.500
Ni: 0.000 0.500 0.500
Ni: 0.500 0.000 0.500

## Properties
**Crystal system**: tetragonal
**Energy of formation**: 1.232 eV per atom

=====

The following is a DFT calculation (PBE-GGA) of a relaxed structure of KTlNi2.

abc: 3.173 4.597 6.758
angles: 90.00 96.90 90.00
Sites, in units of the cell vectors:
K: 0.000 0.000 0.000
Tl: 0.500 0.000 0.500
Ni: 0.266 0.500 0.632
Ni: 0.734 0.500 0.368

## Properties
**Distance to the lowest polymorph of the same formula**: 306 meV per atom
**Crystal system**: monoclinic
**Energy of formation**: 0.524 eV per atom

=====

The following is a DFT calculation (PBE-GGA) of a relaxed structure of KTl2Ni.

abc: 8.535 8.535 8.535
angles: 157.59 151.54 36.52
Sites, in units of the cell vectors:
K: 0.000 0.000 0.000
Tl: 0.340 0.340 0.000
Tl: 0.681 0.181 0.500
Ni: 0.199 0.699 0.500

## Properties
**Crystal system**: orthorhombic
**Energy of formation**: 0.145 eV per atom

=====

The following is a DFT calculation (PBE-GGA) of a relaxed structure of KTlNi2.

abc: 4.454 4.454 6.473
angles: 109.96 109.96 59.97
Sites, in units of the cell vectors:
K: 0.000 0.000 0.000
Tl: 0.500 0.500 0.500
Ni: 0.174 0.174 0.522
Ni: 0.826 0.826 0.478

## Properties
**Distance to the lowest polymorph of the same formula**: 0 meV per atom
**Crystal system**: monoclinic
**Energy of formation**: 0.219 eV per atom

=====

The following is a DFT calculation (PBE-GGA) of a relaxed structure of KTl2Ni.

abc: 4.742 4.742 4.725
angles: 90.00 90.00 90.00
Sites, in units of the cell vectors:
K: 0.000 0.000 0.000
Tl: 0.000 0.500 0.500
Tl: 0.500 0.000 0.500
Ni: 0.500 0.500 0.000

## Properties
**Crystal system**: tetragonal
**Energy of formation**: 0.442 eV per atom

=====

Number 1: total magnetic moment 0.0 Bohr magnetons per cell. Number 2: total magnetic moment 1.9 Bohr magnetons per cell. Number 3: total magnetic moment 0.3 Bohr magnetons per cell. Number 4: total magnetic moment 0.0 Bohr magnetons per cell. Number 5: total magnetic moment 0.6 Bohr magnetons per cell. Number 6: total magnetic moment 0.0 Bohr magnetons per cell. Number 7: total magnetic moment 0.0 Bohr magnetons per cell. Number 8: total magnetic moment 0.0 Bohr magnetons per cell.